Version one
Here is a geometry-optimized KErSO structure from OQMD. Energies are from GGA-PBE.

POSCAR file:
```
KErSO
1.0
0.629 -6.871 2.038
3.763 -6.127 0.261
3.359 -5.121 3.776
Er K O S
1 1 1 1
Direct
0.988 0.988 0.988
0.505 0.505 0.505
0.274 0.274 0.274
0.734 0.734 0.734
```

Properties
As for the calculated volume: 80.6 Å³ per cell. Its magnetic moment is 0.0 Bohr magnetons per cell. As for the space-group type: R3m.

Version two
Here is a geometry-optimized KErSO structure from OQMD. Energies are from GGA-PBE.

POSCAR file:
```
KErSO
1.0
8.025 0.000 0.000
0.000 9.047 0.000
0.000 0.000 5.437
Er K O S
4 4 4 4
Direct
0.938 0.354 0.064
0.438 0.646 0.064
0.562 0.354 0.564
0.062 0.646 0.564
0.382 0.095 0.059
0.882 0.905 0.059
0.118 0.095 0.559
0.618 0.905 0.559
0.050 0.160 0.063
0.550 0.840 0.063
0.450 0.160 0.563
0.950 0.840 0.563
0.601 0.385 0.064
0.101 0.615 0.064
0.899 0.385 0.564
0.399 0.615 0.564
```

Properties
As for the calculated volume: 394.7 Å³ per cell. Its magnetic moment is 0.0 Bohr magnetons per cell. As for the space-group type: Pca2_1.

Version three
Here is a geometry-optimized KErSO structure from OQMD. Energies are from GGA-PBE.

POSCAR file:
```
KErSO
1.0
4.353 0.000 0.000
0.000 7.971 0.000
0.000 0.000 6.378
Er K O S
2 2 2 2
Direct
0.500 0.872 0.042
0.500 0.128 0.542
0.000 0.305 0.110
0.000 0.695 0.610
0.500 0.092 0.217
0.500 0.908 0.717
0.000 0.702 0.122
0.000 0.298 0.622
```

Properties
As for the calculated volume: 221.3 Å³ per cell. Its magnetic moment is 0.0 Bohr magnetons per cell. As for the space-group type: Pmc2_1.

The data favor version one; the next most stable structure lies 7 meV per atom above it.

Version one
Here is a geometry-optimized KErSO structure from OQMD. Energies are from GGA-PBE.

POSCAR file:
```
KErSO
1.0
-0.374 -2.394 -5.107
5.365 1.382 -1.041
3.413 -8.228 6.667
Er K O S
4 4 4 4
Direct
0.546 0.354 0.096
0.046 0.854 0.096
0.954 0.354 0.904
0.454 0.854 0.904
0.939 0.122 0.396
0.438 0.622 0.396
0.562 0.122 0.604
0.061 0.622 0.604
0.750 0.105 0.000
0.250 0.605 0.000
0.750 0.602 0.000
0.250 0.102 0.000
0.383 0.120 0.286
0.882 0.620 0.286
0.118 0.120 0.714
0.617 0.620 0.714
```

Properties
As for the calculated volume: 343.4 Å³ per cell. Its magnetic moment is 0.0 Bohr magnetons per cell. As for the space-group type: C2.

Version two
Here is a geometry-optimized KErSO structure from OQMD. Energies are from GGA-PBE.

POSCAR file:
```
KErSO
1.0
7.504 0.000 -0.344
0.000 7.253 0.000
-1.211 0.000 6.255
Er K O S
4 4 4 4
Direct
0.527 0.627 0.229
0.473 0.127 0.271
0.527 0.873 0.729
0.473 0.373 0.771
0.083 0.739 0.004
0.917 0.239 0.496
0.083 0.761 0.504
0.917 0.261 0.996
0.606 0.353 0.121
0.394 0.853 0.379
0.606 0.147 0.621
0.394 0.647 0.879
0.748 0.909 0.150
0.252 0.409 0.350
0.748 0.591 0.650
0.252 0.091 0.850
```

Properties
As for the calculated volume: 337.4 Å³ per cell. Its magnetic moment is 0.0 Bohr magnetons per cell. As for the space-group type: P2_1/c.

The data favor version two; the next most stable structure lies 36 meV per atom above it.

Version one
Here is a geometry-optimized KErSeO structure from OQMD. Energies are from GGA-PBE.

POSCAR file:
```
KErSeO
1.0
1.870 1.080 7.082
-1.870 1.080 7.082
0.000 -2.160 7.082
Er K O Se
1 1 1 1
Direct
0.015 0.015 0.015
0.493 0.493 0.493
0.726 0.726 0.726
0.265 0.265 0.265
```

Properties
As for the calculated volume: 85.8 Å³ per cell. Its magnetic moment is 0.0 Bohr magnetons per cell. As for the space-group type: R3m.

Version two
Here is a geometry-optimized KErSeO structure from OQMD. Energies are from GGA-PBE.

POSCAR file:
```
KErSeO
1.0
-4.615 6.270 -0.192
-1.702 -1.037 7.066
5.676 2.599 1.749
Er K O Se
4 4 4 4
Direct
0.525 0.627 0.221
0.475 0.127 0.279
0.525 0.873 0.721
0.475 0.373 0.779
0.910 0.278 0.014
0.090 0.778 0.486
0.910 0.222 0.514
0.090 0.722 0.986
0.593 0.352 0.116
0.407 0.852 0.384
0.593 0.148 0.616
0.407 0.648 0.884
0.757 0.910 0.142
0.243 0.410 0.358
0.757 0.590 0.642
0.243 0.090 0.858
```

Properties
As for the calculated volume: 363.0 Å³ per cell. Its magnetic moment is 0.0 Bohr magnetons per cell. As for the space-group type: P2_1/c.

Version three
Here is a geometry-optimized KErSeO structure from OQMD. Energies are from GGA-PBE.

POSCAR file:
```
KErSeO
1.0
5.718 0.000 -0.590
0.000 5.743 0.000
-1.970 0.000 11.472
Er K O Se
4 4 4 4
Direct
0.546 0.349 0.089
0.046 0.849 0.089
0.954 0.349 0.911
0.454 0.849 0.911
0.942 0.128 0.394
0.442 0.628 0.394
0.558 0.128 0.606
0.058 0.628 0.606
0.250 0.095 0.000
0.750 0.096 0.000
0.750 0.595 0.000
0.250 0.596 0.000
0.378 0.128 0.281
0.878 0.628 0.281
0.122 0.128 0.719
0.622 0.628 0.719
```

Properties
As for the calculated volume: 370.0 Å³ per cell. Its magnetic moment is 0.0 Bohr magnetons per cell. As for the space-group type: C2.

Version four
Here is a geometry-optimized KErSeO structure from OQMD. Energies are from GGA-PBE.

POSCAR file:
```
KErSeO
1.0
4.087 0.000 0.000
0.000 4.087 0.000
0.000 0.000 10.059
Er K O Se
2 2 2 2
Direct
0.250 0.250 0.096
0.750 0.750 0.904
0.750 0.250 0.500
0.250 0.750 0.500
0.750 0.250 0.000
0.250 0.750 0.000
0.750 0.750 0.269
0.250 0.250 0.731
```

Properties
As for the calculated volume: 168.0 Å³ per cell. Its magnetic moment is 0.0 Bohr magnetons per cell. As for the space-group type: P4/nmm.

The data favor version two; the next most stable structure lies 8 meV per atom above it.

Version one
Here is a geometry-optimized KErTeO structure from OQMD. Energies are from GGA-PBE.

POSCAR file:
```
KErTeO
1.0
-0.002 -4.669 -0.462
7.267 0.412 -4.197
3.404 -0.579 5.838
Er K O Te
2 2 2 2
Direct
0.500 0.893 0.022
0.500 0.107 0.522
0.000 0.282 0.125
0.000 0.718 0.625
0.500 0.086 0.212
0.500 0.914 0.712
0.000 0.699 0.132
0.000 0.301 0.632
```

Properties
As for the calculated volume: 267.4 Å³ per cell. Its magnetic moment is 0.0 Bohr magnetons per cell. As for the space-group type: Pmc2_1.

Version two
Here is a geometry-optimized KErTeO structure from OQMD. Energies are from GGA-PBE.

POSCAR file:
```
KErTeO
1.0
-3.410 1.452 1.937
-2.236 -3.171 -1.561
2.357 -5.868 8.545
Er K O Te
2 2 2 2
Direct
0.250 0.250 0.088
0.750 0.750 0.912
0.750 0.250 0.500
0.250 0.750 0.500
0.750 0.250 0.000
0.250 0.750 0.000
0.750 0.750 0.262
0.250 0.250 0.738
```

Properties
As for the calculated volume: 185.9 Å³ per cell. Its magnetic moment is 0.0 Bohr magnetons per cell. As for the space-group type: P4/nmm.

Version three
Here is a geometry-optimized KErTeO structure from OQMD. Energies are from GGA-PBE.

POSCAR file:
```
KErTeO
1.0
1.372 -7.620 -0.359
2.865 -6.540 3.017
-0.910 -7.205 2.708
Er K O Te
1 1 1 1
Direct
0.020 0.020 0.020
0.487 0.487 0.487
0.728 0.728 0.728
0.264 0.264 0.264
```

Properties
As for the calculated volume: 95.1 Å³ per cell. Its magnetic moment is 0.0 Bohr magnetons per cell. As for the space-group type: R3m.

The data favor version one; the next most stable structure lies 103 meV per atom above it.

Version one
Here is a geometry-optimized KErTe3Pd structure from OQMD. Energies are from GGA-PBE.

POSCAR file:
```
KErTe3Pd
1.0
-8.341 3.553 -0.633
6.016 -5.770 3.620
2.401 6.878 6.973
Er K Pd Te
2 2 2 6
Direct
0.000 0.000 0.000
0.000 0.000 0.500
0.244 0.756 0.250
0.756 0.244 0.750
0.496 0.504 0.250
0.504 0.496 0.750
0.613 0.387 0.085
0.901 0.099 0.250
0.613 0.387 0.415
0.387 0.613 0.585
0.099 0.901 0.750
0.387 0.613 0.915
```

Properties
As for the calculated volume: 390.2 Å³ per cell. Its magnetic moment is 0.0 Bohr magnetons per cell. As for the space-group type: Cmcm.

Version two
Here is a geometry-optimized KErTe3Pd structure from OQMD. Energies are from GGA-PBE.

POSCAR file:
```
KErTe3Pd
1.0
-4.981 -7.553 -3.347
3.519 -1.408 -2.059
4.688 -1.853 9.281
Er K Pd Te
2 2 2 6
Direct
0.185 0.750 0.147
0.815 0.250 0.853
0.723 0.750 0.246
0.277 0.250 0.754
0.399 0.250 0.391
0.601 0.750 0.609
0.405 0.250 0.138
0.964 0.250 0.165
0.299 0.750 0.475
0.701 0.250 0.525
0.036 0.750 0.835
0.595 0.750 0.862
```

Properties
As for the calculated volume: 403.3 Å³ per cell. Its magnetic moment is 0.0 Bohr magnetons per cell. As for the space-group type: P2_1/m.

The data favor version one; the next most stable structure lies 26 meV per atom above it.

Version one
Here is a geometry-optimized LaErNO structure from OQMD. Energies are from GGA-PBE.

POSCAR file:
```
LaErNO
1.0
6.779 0.000 0.000
0.000 8.263 0.000
0.000 0.000 5.082
Er La N O
4 4 4 4
Direct
0.587 0.118 0.050
0.087 0.882 0.050
0.913 0.118 0.550
0.413 0.882 0.550
0.065 0.371 0.050
0.565 0.629 0.050
0.435 0.371 0.550
0.935 0.629 0.550
0.918 0.114 0.054
0.418 0.886 0.054
0.582 0.114 0.554
0.082 0.886 0.554
0.417 0.348 0.049
0.917 0.652 0.049
0.083 0.348 0.549
0.583 0.652 0.549
```

Properties
As for the calculated volume: 284.7 Å³ per cell. Its magnetic moment is 1.1 Bohr magnetons per cell. As for the space-group type: Pca2_1.

Version two
Here is a geometry-optimized LaErNO structure from OQMD. Energies are from GGA-PBE.

POSCAR file:
```
LaErNO
1.0
4.742 0.000 0.000
0.000 4.742 0.000
0.000 0.000 6.112
Er La N O
2 2 2 2
Direct
0.750 0.750 0.034
0.250 0.250 0.966
0.750 0.250 0.500
0.250 0.750 0.500
0.750 0.750 0.380
0.250 0.250 0.620
0.750 0.250 0.000
0.250 0.750 0.000
```

Properties
As for the calculated volume: 137.4 Å³ per cell. Its magnetic moment is 0.0 Bohr magnetons per cell. As for the space-group type: P4/nmm.

Version three
Here is a geometry-optimized LaErNO structure from OQMD. Energies are from GGA-PBE.

POSCAR file:
```
LaErNO
1.0
-1.418 1.763 -3.348
-1.106 4.113 2.634
6.502 2.626 -1.370
Er La N O
2 2 2 2
Direct
0.000 0.438 0.340
0.000 0.938 0.660
0.500 0.938 0.163
0.500 0.438 0.837
0.000 0.939 0.349
0.000 0.439 0.651
0.500 0.438 0.205
0.500 0.938 0.795
```

Properties
As for the calculated volume: 144.6 Å³ per cell. Its magnetic moment is 1.2 Bohr magnetons per cell. As for the space-group type: Pmma.

The data favor version three; the next most stable structure lies 6 meV per atom above it.

Version one
Here is a geometry-optimized LaErNi4 structure from OQMD. Energies are from GGA-PBE.

POSCAR file:
```
LaErNi4
1.0
-3.993 -3.127 -0.449
-4.732 1.872 0.172
-2.852 0.103 -4.216
Er La Ni
1 1 4
Direct
0.500 0.500 0.500
0.750 0.750 0.750
0.126 0.126 0.126
0.622 0.126 0.126
0.126 0.622 0.126
0.126 0.126 0.622
```

Properties
As for the calculated volume: 93.3 Å³ per cell. Its magnetic moment is 0.0 Bohr magnetons per cell. As for the space-group type: F-43m.

Version two
Here is a geometry-optimized LaErNi4 structure from OQMD. Energies are from GGA-PBE.

POSCAR file:
```
LaErNi4
1.0
-2.823 2.581 3.872
-2.276 -0.948 -4.852
-2.767 -7.037 2.673
Er La Ni
2 2 8
Direct
0.667 0.333 0.500
0.333 0.667 0.500
0.000 0.000 0.000
0.000 0.000 0.500
0.667 0.333 0.000
0.333 0.667 0.000
0.500 0.000 0.229
0.000 0.500 0.229
0.500 0.500 0.229
0.500 0.000 0.771
0.000 0.500 0.771
0.500 0.500 0.771
```

Properties
As for the calculated volume: 205.7 Å³ per cell. Its magnetic moment is 0.0 Bohr magnetons per cell. As for the space-group type: P6/mmm.

The data favor version one; the next most stable structure lies 316 meV per atom above it.

Version one
Here is a geometry-optimized La2Er2O5 structure from OQMD. Energies are from GGA-PBE.

POSCAR file:
```
La2Er2O5
1.0
-3.932 0.607 6.722
0.915 -4.203 0.915
3.688 1.248 2.044
Er La O
2 2 5
Direct
0.000 0.000 0.000
0.500 0.000 0.000
0.223 0.500 0.500
0.777 0.500 0.500
0.293 0.500 0.000
0.707 0.500 0.000
0.293 0.000 0.500
0.707 0.000 0.500
0.500 0.500 0.500
```

Properties
As for the calculated volume: 151.0 Å³ per cell. Its magnetic moment is 0.0 Bohr magnetons per cell. As for the space-group type: P4/mmm.

Version two
Here is a geometry-optimized La2Er2O5 structure from OQMD. Energies are from GGA-PBE.

POSCAR file:
```
La2Er2O5
1.0
7.817 0.000 0.000
0.000 4.309 0.000
0.000 0.000 4.309
Er La O
2 2 5
Direct
0.232 0.500 0.500
0.768 0.500 0.500
0.000 0.000 0.000
0.500 0.000 0.000
0.236 0.500 0.000
0.764 0.500 0.000
0.236 0.000 0.500
0.764 0.000 0.500
0.500 0.500 0.500
```

Properties
As for the calculated volume: 145.2 Å³ per cell. Its magnetic moment is 0.0 Bohr magnetons per cell. As for the space-group type: P4/mmm.

The data favor version two; the next most stable structure lies 739 meV per atom above it.